(1)
A plane-wave DFT calculation with PBEsol was carried out for an optimized crystal structure of BeTeW.

Summary:
The space group is F-43m (216). The value obtained for the spin magnetization is 0.000 μB per formula unit. As for the total energy: -6.03 eV/atom.

POSCAR file:
```
BeTeW
1.0
4.1093 0.0000 0.0000
2.0547 3.5588 0.0000
2.0547 1.1863 3.3552
Te Be W
1 1 1
direct
0.0000 0.0000 0.0000
0.7500 0.7500 0.7500
0.5000 0.5000 0.5000
```

***

(2)
A plane-wave DFT calculation with PBEsol was carried out for an optimized crystal structure of Be2TeW.

Summary:
The space group is F-43m (216). The value obtained for the spin magnetization is 0.000 μB per formula unit. As for the total energy: -5.34 eV/atom.

POSCAR file:
```
Be2TeW
1.0
4.3700 0.0000 0.0000
2.1850 3.7845 0.0000
2.1850 1.2615 3.5681
Te Be W
1 2 1
direct
0.5000 0.5000 0.5000
0.0000 0.0000 0.0000
0.7500 0.7500 0.7500
0.2500 0.2500 0.2500
```

***

(3)
A plane-wave DFT calculation with PBEsol was carried out for an optimized crystal structure of Be2TeW.

Summary:
The space group is P4mm (99). The value obtained for the spin magnetization is 0.000 μB per formula unit. As for the total energy: -5.83 eV/atom.

POSCAR file:
```
Be2TeW
1.0
-0.8181 -2.9282 -1.2619
2.1235 -1.4722 2.0395
-3.7880 -0.4892 3.5909
Be W Te
2 1 1
direct
0.5000 0.5000 0.2157
0.0000 0.0000 0.0150
0.5000 0.5000 0.7744
0.0000 0.0000 0.4949
```

***

(4)
A plane-wave DFT calculation with PBEsol was carried out for an optimized crystal structure of BeTe2W.

Summary:
The space group is R-3m (166). The value obtained for the spin magnetization is 0.001 μB per formula unit. As for the total energy: -5.31 eV/atom.

POSCAR file:
```
BeTe2W
1.0
-0.1190 2.6695 1.9371
-2.7252 1.8600 0.0810
-3.9837 -3.2133 6.9951
Be Te W
1 2 1
direct
0.5000 0.5000 0.5000
0.8966 0.8966 0.3102
0.1034 0.1034 0.6898
0.0000 0.0000 0.0000
```

***

(5)
A plane-wave DFT calculation with PBEsol was carried out for an optimized crystal structure of BeTe2W.

Summary:
The space group is I-4m2 (119). The value obtained for the spin magnetization is 0.003 μB per formula unit. As for the total energy: -5.16 eV/atom.

POSCAR file:
```
BeTe2W
1.0
4.0495 0.0000 0.0000
0.0000 4.0495 0.0000
-2.0247 -2.0247 4.5480
Te W Be
2 1 1
direct
0.7500 0.2500 0.5000
0.0000 0.0000 0.0000
0.5000 0.5000 0.0000
0.2500 0.7500 0.5000
```

***

(6)
A plane-wave DFT calculation with PBEsol was carried out for an optimized crystal structure of Be2TeW.

Summary:
The space group is Pmmm (47). The value obtained for the spin magnetization is 0.000 μB per formula unit. As for the total energy: -5.72 eV/atom.

POSCAR file:
```
Be2TeW
1.0
3.4375 0.0000 0.0000
0.0000 3.5537 0.0000
0.0000 0.0000 4.5176
Be W Te
2 1 1
direct
0.0000 0.0000 0.0000
0.0000 0.5000 0.5000
0.5000 0.0000 0.5000
0.5000 0.5000 0.0000
```

***

(7)
A plane-wave DFT calculation with PBEsol was carried out for an optimized crystal structure of Be2TeW.

Summary:
The space group is Pm (6). The value obtained for the spin magnetization is 0.000 μB per formula unit. As for the total energy: -5.83 eV/atom.

POSCAR file:
```
Be2TeW
1.0
-1.3046 -0.3354 2.8958
3.1814 -0.4043 1.3865
0.9619 5.0814 -0.7254
W Te Be
1 1 2
direct
0.5935 0.5000 0.8135
0.9315 0.0000 0.4857
0.1763 0.0000 0.9802
0.2987 0.5000 0.2206
```

***

(8)
A plane-wave DFT calculation with PBEsol was carried out for an optimized crystal structure of Y2BeTe.

Summary:
The space group is P4mm (99). The value obtained for the spin magnetization is 0.000 μB per formula unit. For the relative energy among the computed polymorphs, the calculation gives 0.32 kJ/mol of atoms.

POSCAR file:
```
Y2BeTe
1.0
4.1690 0.0000 0.0000
0.0000 4.1690 0.0000
0.0000 0.0000 5.8916
Y Te Be
2 1 1
direct
0.5000 0.5000 0.3742
0.0000 0.0000 0.8761
0.5000 0.5000 0.8739
0.0000 0.0000 0.3758
```